# 1
First-principles (PBE) data for UHgPt after structural relaxation, as listed in the Open Quantum Materials Database.

a b c (Å): 4.8204 4.8204 4.8204
angles (deg): 60.00 60.00 60.00
Last column: nearest neighbours and their distance in Å.
Element x y z (fractional)
U: 0.0000 0.0000 0.0000  4 Hg 2.95, 4 Pt 2.95
Hg: 0.7500 0.7500 0.7500  4 U 2.95
Pt: 0.2500 0.2500 0.2500  4 U 2.95

The crystal system is cubic. The value obtained for the total energy is -0.4141 Ry/atom. The value obtained for the formation energy is 249 meV/atom.

---

# 2
First-principles (PBE) data for Y2Hg2Pt after structural relaxation, as listed in the Open Quantum Materials Database.

a b c (Å): 7.6183 7.6183 4.4172
angles (deg): 90.00 90.00 90.00
Last column: nearest neighbours and their distance in Å.
Element x y z (fractional)
Y: 0.1688 0.3312 0.0000  2 Pt 2.83, 2 Hg 3.03
Y: 0.3312 0.8312 0.0000  2 Pt 2.83, 2 Hg 3.03
Y: 0.6688 0.1688 0.0000  2 Pt 2.83, 2 Hg 3.03
Y: 0.8312 0.6688 0.0000  2 Pt 2.83, 2 Hg 3.03
Hg: 0.1392 0.6392 0.5000  1 Hg 3.00, 6 Y 3.03-3.23
Hg: 0.3608 0.1392 0.5000  1 Hg 3.00, 6 Y 3.03-3.23
Hg: 0.6392 0.8608 0.5000  1 Hg 3.00, 6 Y 3.03-3.23
Hg: 0.8608 0.3608 0.5000  1 Hg 3.00, 6 Y 3.03-3.23
Pt: 0.0000 0.0000 0.0000  4 Y 2.83
Pt: 0.5000 0.5000 0.0000  4 Y 2.83

The crystal system is tetragonal. The value obtained for the total energy is -0.3154 Ry/atom. The value obtained for the formation energy is -375 meV/atom.

---

# 3
First-principles (PBE) data for YHg2Pt after structural relaxation, as listed in the Open Quantum Materials Database.

a b c (Å): 4.9286 4.9286 4.9286
angles (deg): 60.00 60.00 60.00
Last column: nearest neighbours and their distance in Å.
Element x y z (fractional)
Y: 0.0000 0.0000 0.0000  4 Pt 3.02, 4 Hg 3.02
Hg: 0.2500 0.2500 0.2500  4 Hg 3.02, 4 Y 3.02
Hg: 0.5000 0.5000 0.5000  4 Pt 3.02, 4 Hg 3.02
Pt: 0.7500 0.7500 0.7500  4 Hg 3.02, 4 Y 3.02

The crystal system is cubic. The value obtained for the total energy is -0.2776 Ry/atom. The value obtained for the formation energy is -498 meV/atom.